A plane-wave DFT calculation with PBE was carried out for Li5Ga2Sb4 after structural relaxation.

The calculation puts the energy relative to the elements, uncorrected at -0.31 eV/atom. The value obtained for the final energy is -3.23 eV/atom. The value obtained for the density of states at the Fermi level is 2.161 states/eV/cell. Its magnetization is 0.00 μB per atom. The calculated volume comes out at 23.5 Å³ per atom.

Lattice parameters (Å, degrees): 4.8960 6.2609 8.8491 82.54 106.07 89.89
With the nearest neighbours (Å) after each atom.
Element x y z (fractional)
Sb 0.0461 0.2911 0.0908  2 Ga 2.81, 1 Sb 2.85, 2 Li 2.90-3.01
Sb 0.6693 0.7955 0.3397  1 Ga 2.65, 6 Li 2.80-2.96
Sb 0.3307 0.2045 0.6603  1 Ga 2.65, 6 Li 2.80-2.96
Sb 0.9539 0.7089 0.9092  2 Ga 2.81, 1 Sb 2.85, 2 Li 2.90-3.01
Li 0.1913 0.9961 0.3846  4 Sb 2.80-2.90, 2 Li 2.95-3.13
Li 0.1883 0.5265 0.3768  4 Sb 2.93-3.01, 3 Li 2.95-3.21, 2 Ga 3.06
Li 0.5000 0.0000 0.0000  6 Sb 3.00-3.21
Li 0.8117 0.4735 0.6232  4 Sb 2.93-3.01, 3 Li 2.95-3.21, 2 Ga 3.06
Li 0.8087 0.0039 0.6154  4 Sb 2.80-2.90, 2 Li 2.95-3.13
Ga 0.5848 0.4712 0.1696  3 Sb 2.65-2.81, 1 Ga 2.86
Ga 0.4152 0.5288 0.8304  3 Sb 2.65-2.81, 1 Ga 2.86

=====

A plane-wave DFT calculation with PBE was carried out for LiGa2Sb2 after structural relaxation.

The calculation puts the energy relative to the elements, uncorrected at -0.05 eV/atom. The value obtained for the final energy is -3.29 eV/atom. The value obtained for the density of states at the Fermi level is 4.516 states/eV/cell. Its magnetization is 0.00 μB per atom. The calculated volume comes out at 23.7 Å³ per atom. The value obtained for the energy above the lowest structure with this stoichiometry is 0.0 meV/atom.

Lattice parameters (Å, degrees): 7.8194 7.8194 3.8836 90.00 90.00 90.00
With the nearest neighbours (Å) after each atom.
Element x y z (fractional)
Sb 0.1536 0.3464 0.0000  2 Li 2.96, 6 Ga 2.98-3.02
Sb 0.6536 0.1536 0.0000  2 Li 2.96, 6 Ga 2.98-3.02
Sb 0.3464 0.8464 0.0000  2 Li 2.96, 6 Ga 2.98-3.02
Sb 0.8464 0.6536 0.0000  2 Li 2.96, 6 Ga 2.98-3.02
Ga 0.6422 0.8578 0.5000  6 Sb 2.98-3.02, 1 Ga 3.14
Ga 0.1422 0.6422 0.5000  6 Sb 2.98-3.02, 1 Ga 3.14
Ga 0.8578 0.3578 0.5000  6 Sb 2.98-3.02, 1 Ga 3.14
Ga 0.3578 0.1422 0.5000  6 Sb 2.98-3.02, 1 Ga 3.14
Li 0.0000 0.0000 0.0000  4 Sb 2.96
Li 0.5000 0.5000 0.0000  4 Sb 2.96

=====

A plane-wave DFT calculation with PBE was carried out for Li2GaSb after structural relaxation.

The calculation puts the energy relative to the elements, uncorrected at -0.37 eV/atom. The value obtained for the final energy is -3.12 eV/atom. The value obtained for the density of states at the Fermi level is 1.100 states/eV/cell. Its magnetization is 0.00 μB per atom. The calculated volume comes out at 18.7 Å³ per atom. The value obtained for the energy above the lowest structure with this stoichiometry is 25.1 meV/atom.

Lattice parameters (Å, degrees): 4.1940 4.2208 4.2208 90.00 90.00 90.00
With the nearest neighbours (Å) after each atom.
Element x y z (fractional)
Li 0.0000 0.0000 0.5000  4 Sb 2.98, 4 Ga 2.98, 4 Li 2.98
Li 0.0000 0.5000 0.0000  4 Sb 2.98, 4 Ga 2.98, 4 Li 2.98
Ga 0.5000 0.0000 0.0000  8 Li 2.98, 4 Sb 2.98
Sb 0.5000 0.5000 0.5000  8 Li 2.98, 4 Ga 2.98

=====

A plane-wave DFT calculation with PBE was carried out for LiGa2Sb2 after structural relaxation.

The calculation puts the energy relative to the elements, uncorrected at -0.05 eV/atom. The value obtained for the final energy is -3.29 eV/atom. The value obtained for the density of states at the Fermi level is 1.873 states/eV/cell. Its magnetization is 0.00 μB per atom. The calculated volume comes out at 25.3 Å³ per atom. The value obtained for the energy above the lowest structure with this stoichiometry is 1.8 meV/atom.

Lattice parameters (Å, degrees): 5.2509 5.2509 5.9059 63.61 63.61 90.00
With the nearest neighbours (Å) after each atom.
Element x y z (fractional)
Li 0.0000 0.0000 0.0000  2 Ga 3.36, 8 Sb 3.49
Sb 0.7500 0.2500 0.5000  4 Ga 2.83
Sb 0.2500 0.7500 0.5000  4 Ga 2.83
Ga 0.6345 0.6345 0.7309  1 Ga 2.47
Ga 0.3655 0.3655 0.2691  1 Ga 2.47

=====

A plane-wave DFT calculation with PBE was carried out for Li2GaSb after structural relaxation.

The calculation puts the energy relative to the elements, uncorrected at -0.40 eV/atom. The value obtained for the final energy is -3.14 eV/atom. The value obtained for the density of states at the Fermi level is 0.001 states/eV/cell. Its magnetization is 0.00 μB per atom. The calculated volume comes out at 19.3 Å³ per atom. The value obtained for the energy above the lowest structure with this stoichiometry is 0.0 meV/atom.

Lattice parameters (Å, degrees): 4.7760 4.7760 4.7760 60.00 60.00 60.00
With the nearest neighbours (Å) after each atom.
Element x y z (fractional)
Ga 0.0000 0.0000 0.0000  8 Li 2.92
Li 0.2500 0.2500 0.2500  4 Sb 2.92, 4 Ga 2.92
Li 0.7500 0.7500 0.7500  4 Sb 2.92, 4 Ga 2.92
Sb 0.5000 0.5000 0.5000  8 Li 2.92

=====

A plane-wave DFT calculation with PBE was carried out for Li2GaSb after structural relaxation.

The calculation puts the energy relative to the elements, uncorrected at -0.30 eV/atom. The value obtained for the final energy is -3.05 eV/atom. The value obtained for the density of states at the Fermi level is 0.920 states/eV/cell. Its magnetization is 0.00 μB per atom. The calculated volume comes out at 19.0 Å³ per atom. The value obtained for the energy above the lowest structure with this stoichiometry is 96.9 meV/atom.

Lattice parameters (Å, degrees): 3.3305 3.3305 6.8359 90.00 90.00 90.00
With the nearest neighbours (Å) after each atom.
Element x y z (fractional)
Li 0.0000 0.0000 0.7691  4 Ga 2.84, 4 Sb 2.99, 1 Li 3.16
Li 0.0000 0.0000 0.2309  4 Ga 2.84, 4 Sb 2.99, 1 Li 3.16
Ga 0.5000 0.5000 0.0000  8 Li 2.84
Sb 0.5000 0.5000 0.5000  8 Li 2.99, 4 Sb 3.33

=====

A plane-wave DFT calculation with PBE was carried out for Li2GaSb after structural relaxation.

The calculation puts the energy relative to the elements, uncorrected at -0.18 eV/atom. The value obtained for the final energy is -2.92 eV/atom. The value obtained for the density of states at the Fermi level is 5.616 states/eV/cell. Its magnetization is 0.00 μB per atom. The calculated volume comes out at 20.8 Å³ per atom. The value obtained for the energy above the lowest structure with this stoichiometry is 220.7 meV/atom.

Lattice parameters (Å, degrees): 4.1857 4.1857 9.9309 77.83 77.83 90.00
With the nearest neighbours (Å) after each atom.
Element x y z (fractional)
Li 0.1285 0.6250 0.2500  2 Ga 2.79, 2 Sb 2.80, 4 Li 2.94-2.98
Li 0.8750 0.8715 0.7500  2 Ga 2.79, 2 Sb 2.80, 4 Li 2.94-2.98
Li 0.6215 0.1250 0.2500  2 Ga 2.79, 2 Sb 2.80, 4 Li 2.94-2.98
Li 0.3750 0.3785 0.7500  2 Ga 2.79, 2 Sb 2.80, 4 Li 2.94-2.98
Ga 0.5000 0.5000 0.0000  4 Li 2.79, 4 Sb 2.96
Ga 0.2500 0.7500 0.5000  4 Li 2.79, 4 Sb 2.96
Sb 0.0000 0.0000 0.0000  4 Li 2.80, 4 Ga 2.96
Sb 0.7500 0.2500 0.5000  4 Li 2.80, 4 Ga 2.96

=====

A plane-wave DFT calculation with PBE was carried out for LiGa2Sb2 after structural relaxation.

The calculation puts the energy relative to the elements, uncorrected at -0.05 eV/atom. The value obtained for the final energy is -3.29 eV/atom. The value obtained for the density of states at the Fermi level is 2.733 states/eV/cell. Its magnetization is 0.00 μB per atom. The calculated volume comes out at 27.1 Å³ per atom. The value obtained for the energy above the lowest structure with this stoichiometry is 2.2 meV/atom.

Lattice parameters (Å, degrees): 4.4014 4.4014 7.6664 73.32 73.32 90.00
With the nearest neighbours (Å) after each atom.
Element x y z (fractional)
Ga 0.2500 0.7500 0.5000  4 Sb 2.85, 4 Ga 3.11
Ga 0.7500 0.2500 0.5000  4 Sb 2.85, 4 Ga 3.11
Sb 0.3787 0.3787 0.2426  4 Ga 2.85
Sb 0.6213 0.6213 0.7574  4 Ga 2.85
Li 0.0000 0.0000 0.0000  8 Sb 3.55

=====

A plane-wave DFT calculation with PBE was carried out for Li8GaSb2 after structural relaxation.

The calculation puts the energy relative to the elements, uncorrected at -0.46 eV/atom. The value obtained for the final energy is -2.88 eV/atom. The value obtained for the density of states at the Fermi level is 2.413 states/eV/cell. Its magnetization is 0.00 μB per atom. The calculated volume comes out at 18.6 Å³ per atom.

Lattice parameters (Å, degrees): 4.5392 7.7557 7.3468 121.96 107.99 90.00
With the nearest neighbours (Å) after each atom.
Element x y z (fractional)
Li 0.6538 0.4463 0.3076  3 Sb 2.80-2.84, 3 Li 2.82-2.90, 1 Ga 2.88
Li 0.0009 0.6953 0.0018  2 Sb 2.81, 7 Li 2.89-3.02
Li 0.8555 0.8523 0.7109  2 Ga 2.82, 4 Li 2.82-2.92, 2 Sb 2.87
Li 0.9991 0.3047 0.9982  2 Sb 2.81, 7 Li 2.89-3.02
Li 0.3462 0.5537 0.6924  3 Sb 2.80-2.84, 3 Li 2.82-2.90, 1 Ga 2.88
Li 0.6556 0.8627 0.3113  3 Sb 2.80-2.84, 3 Li 2.84-2.90, 1 Ga 2.91
Li 0.3444 0.1373 0.6887  3 Sb 2.80-2.84, 3 Li 2.84-2.90, 1 Ga 2.91
Li 0.1445 0.1477 0.2891  2 Ga 2.82, 4 Li 2.82-2.92, 2 Sb 2.87
Sb 0.7955 0.2966 0.5911  10 Li 2.80-2.87
Sb 0.2045 0.7034 0.4089  10 Li 2.80-2.87
Ga 0.5000 0.0000 0.0000  8 Li 2.82-2.91

=====

A plane-wave DFT calculation with PBE was carried out for LiGaSb3 after structural relaxation.

The calculation puts the energy relative to the elements, uncorrected at 0.32 eV/atom. The value obtained for the final energy is -3.14 eV/atom. The value obtained for the density of states at the Fermi level is 5.015 states/eV/cell. Its magnetization is 0.00 μB per atom. The calculated volume comes out at 26.1 Å³ per atom. The value obtained for the energy above the lowest structure with this stoichiometry is 0.0 meV/atom.

Lattice parameters (Å, degrees): 5.0704 5.0704 5.0704 90.00 90.00 90.00
With the nearest neighbours (Å) after each atom.
Element x y z (fractional)
Ga 0.5000 0.5000 0.5000  12 Sb 3.59
Sb 0.0000 0.0000 0.5000  2 Li 2.54
Sb 0.5000 0.0000 0.0000  2 Li 2.54
Sb 0.0000 0.5000 0.0000  2 Li 2.54
Li 0.0000 0.0000 0.0000  6 Sb 2.54

=====

A plane-wave DFT calculation with PBE was carried out for Li2GaSb2 after structural relaxation.

The calculation puts the energy relative to the elements, uncorrected at -0.16 eV/atom. The value obtained for the final energy is -3.18 eV/atom. The value obtained for the density of states at the Fermi level is 1.559 states/eV/cell. Its magnetization is 0.00 μB per atom. The calculated volume comes out at 25.0 Å³ per atom. The value obtained for the energy above the lowest structure with this stoichiometry is 107.7 meV/atom.

Lattice parameters (Å, degrees): 4.6189 4.6189 6.6983 69.83 69.83 90.00
With the nearest neighbours (Å) after each atom.
Element x y z (fractional)
Li 0.2500 0.7500 0.5000  4 Sb 2.79
Li 0.7500 0.2500 0.5000  4 Sb 2.79
Ga 0.0000 0.0000 0.0000  8 Sb 3.54, 8 Li 3.73
Sb 0.6159 0.6159 0.7682  1 Sb 2.71, 4 Li 2.79
Sb 0.3841 0.3841 0.2318  1 Sb 2.71, 4 Li 2.79

=====

A plane-wave DFT calculation with PBE was carried out for LiGa3Sb after structural relaxation.

The calculation puts the energy relative to the elements, uncorrected at 0.22 eV/atom. The value obtained for the final energy is -2.81 eV/atom. The value obtained for the density of states at the Fermi level is 1.714 states/eV/cell. Its magnetization is 0.00 μB per atom. The calculated volume comes out at 21.7 Å³ per atom. The value obtained for the energy above the lowest structure with this stoichiometry is 0.0 meV/atom.

Lattice parameters (Å, degrees): 4.7702 4.7702 4.7702 90.00 90.00 90.00
With the nearest neighbours (Å) after each atom.
Element x y z (fractional)
Sb 0.5000 0.5000 0.5000  12 Ga 3.37
Ga 0.0000 0.0000 0.5000  2 Li 2.39
Ga 0.0000 0.5000 0.0000  2 Li 2.39
Ga 0.5000 0.0000 0.0000  2 Li 2.39
Li 0.0000 0.0000 0.0000  6 Ga 2.39

=====

A plane-wave DFT calculation with PBE was carried out for LiGaSb after structural relaxation.

The calculation puts the energy relative to the elements, uncorrected at -0.25 eV/atom. The value obtained for the final energy is -3.27 eV/atom. The value obtained for the density of states at the Fermi level is 1.002 states/eV/cell. Its magnetization is 0.00 μB per atom. The calculated volume comes out at 22.2 Å³ per atom. The value obtained for the energy above the lowest structure with this stoichiometry is 0.0 meV/atom.

Lattice parameters (Å, degrees): 4.1660 6.9944 5.5729 115.58 111.95 90.00
With the nearest neighbours (Å) after each atom.
Element x y z (fractional)
Ga 0.8599 0.4425 0.7197  1 Ga 2.62, 3 Sb 2.78-2.86
Ga 0.1401 0.5575 0.2803  1 Ga 2.62, 3 Sb 2.78-2.86
Sb 0.8126 0.8138 0.6251  3 Ga 2.78-2.86, 3 Li 2.91-3.08
Sb 0.1874 0.1862 0.3749  3 Ga 2.78-2.86, 3 Li 2.91-3.08
Li 0.5249 0.7938 0.0499  5 Sb 2.91-3.23, 4 Ga 3.06-3.21, 1 Li 3.16
Li 0.4751 0.2062 0.9501  5 Sb 2.91-3.23, 4 Ga 3.06-3.21, 1 Li 3.16